1.
A relaxed structure of Na3Zn6Ga5. Source: Alexandria via LeMat-Bulk, functional PBE-GGA.

Crystal system = orthorhombic
M_tot = 0.00 Bohr magnetons per cell
Calculated total energy = -27.7 eV per formula unit

Cell lengths 4.309, 12.708, 9.732 Å; angles 90.00, 90.00, 90.00 degrees
Space group Pmmn (No. 59, origin choice 2)
Asymmetric unit:
1 Na 0.250 0.065 0.241 [4 per cell]
2 Na 0.250 0.750 0.256 [2 per cell]
3 Zn 0.250 0.065 0.593 [4 per cell]
4 Zn 0.250 0.250 0.025 [2 per cell]
5 Zn 0.250 0.250 0.485 [2 per cell]
6 Zn 0.250 0.601 0.991 [4 per cell]
7 Ga 0.250 0.086 0.860 [4 per cell]
8 Ga 0.250 0.637 0.554 [4 per cell]
9 Ga 0.250 0.750 0.796 [2 per cell]

2.
A relaxed structure of Na3Zn3Ga8. Source: Alexandria via LeMat-Bulk, functional PBE-GGA.

Crystal system = orthorhombic
M_tot = 0.00 Bohr magnetons per cell
Calculated total energy = -33.5 eV per formula unit

Cell lengths 4.447, 9.615, 12.525 Å; angles 90.00, 90.00, 90.00 degrees
Space group Immm (No. 71)
Asymmetric unit:
1 Na 0.000 0.000 0.000 [2 per cell]
2 Na 0.000 0.000 0.289 [4 per cell]
3 Zn 0.000 0.162 0.500 [4 per cell]
4 Zn 0.000 0.500 0.000 [2 per cell]
5 Ga 0.000 0.286 0.140 [8 per cell]
6 Ga 0.000 0.363 0.349 [8 per cell]

3.
A relaxed structure of NaZn3Ga3. Source: Alexandria via LeMat-Bulk, functional PBE-GGA.

Crystal system = trigonal
M_tot = 0.00 Bohr magnetons per cell
Calculated total energy = -13.9 eV per formula unit

Cell lengths 7.5805, 7.5805, 16.4348 Å; angles 90.00, 90.00, 120.00 degrees
Space group R-3 (No. 148, hexagonal axes)
Asymmetric unit:
1 Na 0.0000 0.0000 0.1639 [6 per cell]
2 Zn 0.0005 0.2534 0.5550 [18 per cell]
3 Ga 0.0049 0.3677 0.3772 [18 per cell]

4.
A relaxed structure of NaZn4Ga2. Source: Alexandria via LeMat-Bulk, functional PBE-GGA.

Crystal system = orthorhombic
M_tot = 0.00 Bohr magnetons per cell
Calculated total energy = -12.7 eV per formula unit

Cell lengths 4.096, 15.164, 4.098 Å; angles 90.00, 90.00, 90.00 degrees
Space group Cmmm (No. 65)
Asymmetric unit:
1 Na 0.000 0.000 0.000 [2 per cell]
2 Zn 0.000 0.188 0.500 [4 per cell]
3 Zn 0.000 0.311 0.000 [4 per cell]
4 Ga 0.000 0.416 0.500 [4 per cell]

5.
A relaxed structure of Na2Zn5Ga5. Source: Alexandria via LeMat-Bulk, functional PBE-GGA.

Crystal system = orthorhombic
M_tot = 0.00 Bohr magnetons per cell
Calculated total energy = -24.3 eV per formula unit

Cell lengths 4.287, 5.601, 9.663 Å; angles 90.00, 90.00, 90.00 degrees
Space group Pmmm (No. 47)
Asymmetric unit:
1 Na 0.000 0.000 0.000 [1 per cell]
2 Na 0.000 0.500 0.500 [1 per cell]
3 Zn 0.500 0.000 0.500 [1 per cell]
4 Zn 0.500 0.247 0.251 [4 per cell]
5 Ga 0.000 0.000 0.332 [2 per cell]
6 Ga 0.000 0.500 0.178 [2 per cell]
7 Ga 0.500 0.500 0.000 [1 per cell]

6.
A relaxed structure of Na2Zn16Ga. Source: Alexandria via LeMat-Bulk, functional PBE-GGA.

Crystal system = trigonal
M_tot = 0.00 Bohr magnetons per cell
Calculated total energy = -26.7 eV per formula unit

Cell lengths 9.1234, 9.1234, 13.1651 Å; angles 90.00, 90.00, 120.00 degrees
Space group R3m (No. 160, hexagonal axes)
Asymmetric unit:
1 Na 0.0000 0.0000 0.0000 [3 per cell]
2 Na 0.0000 0.0000 0.3158 [3 per cell]
3 Zn 0.0000 0.0000 0.5575 [3 per cell]
4 Zn 0.0001 0.3052 0.6563 [18 per cell]
5 Zn 0.0035 0.5017 0.8102 [9 per cell]
6 Zn 0.0036 0.5018 0.1565 [9 per cell]
7 Zn 0.1700 0.3399 0.8358 [9 per cell]
8 Ga 0.0000 0.0000 0.7598 [3 per cell]

7.
A relaxed structure of NaZn6Ga6. Source: Alexandria via LeMat-Bulk, functional PBE-GGA.

Crystal system = orthorhombic
M_tot = 0.00 Bohr magnetons per cell
Calculated total energy = -27.2 eV per formula unit

Cell lengths 5.162, 9.184, 9.688 Å; angles 90.00, 90.00, 90.00 degrees
Space group Immm (No. 71)
Asymmetric unit:
1 Na 0.000 0.000 0.000 [2 per cell]
2 Zn 0.000 0.500 0.281 [4 per cell]
3 Zn 0.250 0.250 0.250 [8 per cell]
4 Ga 0.000 0.000 0.354 [4 per cell]
5 Ga 0.000 0.302 0.500 [4 per cell]
6 Ga 0.000 0.350 0.000 [4 per cell]

8.
A relaxed structure of NaZn2Ga2. Source: Alexandria via LeMat-Bulk, functional PBE-GGA.

Crystal system = tetragonal
M_tot = 0.00 Bohr magnetons per cell
Calculated total energy = -10.2 eV per formula unit

Cell lengths 4.138, 4.138, 11.422 Å; angles 90.00, 90.00, 90.00 degrees
Space group I4/mmm (No. 139)
Asymmetric unit:
1 Na 0.000 0.000 0.000 [2 per cell]
2 Zn 0.000 0.500 0.250 [4 per cell]
3 Ga 0.000 0.000 0.390 [4 per cell]

9.
A relaxed structure of NaZn2Ga3. Source: Alexandria via LeMat-Bulk, functional PBE-GGA.

Crystal system = monoclinic
M_tot = 0.00 Bohr magnetons per cell
Calculated total energy = -13.2 eV per formula unit

Cell lengths 15.499, 4.366, 7.790 Å; angles 90.00, 120.15, 90.00 degrees
Space group C2/m (No. 12)
Asymmetric unit:
1 Na 0.128 0.000 0.127 [4 per cell]
2 Zn 0.000 0.500 0.163 [4 per cell]
3 Zn 0.195 0.000 0.695 [4 per cell]
4 Ga 0.000 0.000 0.339 [4 per cell]
5 Ga 0.176 0.500 0.877 [4 per cell]
6 Ga 0.177 0.500 0.476 [4 per cell]

10.
A relaxed structure of NaZnGa2. Source: Alexandria via LeMat-Bulk, functional PBE-GGA.

Crystal system = trigonal
M_tot = 0.00 Bohr magnetons per cell
Calculated total energy = -8.8 eV per formula unit

Cell lengths 4.3020, 4.3020, 16.4506 Å; angles 90.00, 90.00, 120.00 degrees
Space group R3m (No. 160, hexagonal axes)
Asymmetric unit:
1 Na 0.0000 0.0000 0.0000 [3 per cell]
2 Zn 0.0000 0.0000 0.8121 [3 per cell]
3 Ga 0.0000 0.0000 0.2124 [3 per cell]
4 Ga 0.0000 0.0000 0.4460 [3 per cell]

11.
A relaxed structure of Na2Zn2Ga. Source: Alexandria via LeMat-Bulk, functional PBE-GGA.

Crystal system = tetragonal
M_tot = 0.00 Bohr magnetons per cell
Calculated total energy = -8.2 eV per formula unit

Cell lengths 6.647, 6.647, 5.051 Å; angles 90.00, 90.00, 90.00 degrees
Space group P4/mbm (No. 127)
Asymmetric unit:
1 Na 0.179 0.321 0.000 [4 per cell]
2 Zn 0.136 0.636 0.500 [4 per cell]
3 Ga 0.000 0.000 0.500 [2 per cell]

12.
A relaxed structure of NaZn3Ga3. Source: Alexandria via LeMat-Bulk, functional PBE-GGA.

Crystal system = cubic
M_tot = 0.00 Bohr magnetons per cell
Calculated total energy = -12.7 eV per formula unit

Cell lengths 7.125, 7.125, 7.125 Å; angles 90.00, 90.00, 90.00 degrees
Space group Pm-3n (No. 223)
Asymmetric unit:
1 Na 0.000 0.000 0.000 [2 per cell]
2 Zn 0.000 0.250 0.500 [6 per cell]
3 Ga 0.000 0.500 0.250 [6 per cell]

13.
A relaxed structure of Na2Zn2Ga. Source: Alexandria via LeMat-Bulk, functional PBE-GGA.

Crystal system = tetragonal
M_tot = 0.00 Bohr magnetons per cell
Calculated total energy = -7.0 eV per formula unit

Cell lengths 4.130, 4.130, 13.745 Å; angles 90.00, 90.00, 90.00 degrees
Space group I4/mmm (No. 139)
Asymmetric unit:
1 Na 0.000 0.500 0.250 [4 per cell]
2 Zn 0.000 0.000 0.089 [4 per cell]
3 Ga 0.000 0.000 0.500 [2 per cell]

14.
A relaxed structure of Na2ZnGa2. Source: Alexandria via LeMat-Bulk, functional PBE-GGA.

Crystal system = monoclinic
M_tot = 0.00 Bohr magnetons per cell
Calculated total energy = -10.3 eV per formula unit

Cell lengths 10.463, 4.470, 9.420 Å; angles 90.00, 97.19, 90.00 degrees
Space group C2/m (No. 12)
Asymmetric unit:
1 Na 0.040 0.000 0.151 [4 per cell]
2 Na 0.118 0.500 0.687 [4 per cell]
3 Zn 0.116 0.000 0.460 [4 per cell]
4 Ga 0.184 0.500 0.337 [4 per cell]
5 Ga 0.226 0.500 0.061 [4 per cell]

15.
A relaxed structure of Na16ZnGa12. Source: Alexandria via LeMat-Bulk, functional PBE-GGA.

Crystal system = monoclinic
M_tot = 0.00 Bohr magnetons per cell
Calculated total energy = -60.6 eV per formula unit

Cell lengths 11.042, 15.629, 9.389 Å; angles 90.00, 123.23, 90.00 degrees
Space group Cm (No. 8)
Asymmetric unit:
1 Na 0.000 0.000 0.000 [2 per cell]
2 Na 0.010 0.000 0.646 [2 per cell]
3 Na 0.066 0.349 0.048 [4 per cell]
4 Na 0.137 0.500 0.313 [2 per cell]
5 Na 0.157 0.164 0.232 [4 per cell]
6 Na 0.185 0.177 0.639 [4 per cell]
7 Na 0.198 0.500 0.936 [2 per cell]
8 Na 0.300 0.294 0.961 [4 per cell]
9 Na 0.457 0.122 0.628 [4 per cell]
10 Na 0.491 0.192 0.341 [4 per cell]
11 Zn 0.323 0.000 0.277 [2 per cell]
12 Ga 0.006 0.184 0.821 [4 per cell]
13 Ga 0.177 0.000 0.445 [2 per cell]
14 Ga 0.252 0.410 0.660 [4 per cell]
15 Ga 0.269 0.091 0.002 [4 per cell]
16 Ga 0.333 0.323 0.474 [4 per cell]
17 Ga 0.360 0.000 0.828 [2 per cell]
18 Ga 0.417 0.410 0.290 [4 per cell]

16.
A relaxed structure of Na2Zn2Ga. Source: Alexandria via LeMat-Bulk, functional PBE-GGA.

Crystal system = orthorhombic
M_tot = 0.00 Bohr magnetons per cell
Calculated total energy = -8.5 eV per formula unit

Cell lengths 4.421, 5.210, 9.617 Å; angles 90.00, 90.00, 90.00 degrees
Space group Immm (No. 71)
Asymmetric unit:
1 Na 0.000 0.000 0.197 [4 per cell]
2 Zn 0.000 0.257 0.500 [4 per cell]
3 Ga 0.000 0.500 0.000 [2 per cell]

17.
A relaxed structure of Na3Zn7Ga4. Source: Alexandria via LeMat-Bulk, functional PBE-GGA.

Crystal system = monoclinic
M_tot = 0.00 Bohr magnetons per cell
Calculated total energy = -25.8 eV per formula unit

Cell lengths 15.716, 4.274, 9.765 Å; angles 90.00, 126.63, 90.00 degrees
Space group C2/m (No. 12)
Asymmetric unit:
1 Na 0.000 0.000 0.000 [2 per cell]
2 Na 0.192 0.500 0.691 [4 per cell]
3 Zn 0.000 0.000 0.500 [2 per cell]
4 Zn 0.001 0.500 0.297 [4 per cell]
5 Zn 0.120 0.000 0.838 [4 per cell]
6 Zn 0.170 0.500 0.294 [4 per cell]
7 Ga 0.131 0.000 0.406 [4 per cell]
8 Ga 0.177 0.500 0.029 [4 per cell]

18.
A relaxed structure of Na2ZnGa. Source: Alexandria via LeMat-Bulk, functional PBE-GGA.

Crystal system = trigonal
M_tot = 0.00 Bohr magnetons per cell
Calculated total energy = -6.2 eV per formula unit

Cell lengths 3.1412, 3.1412, 33.4331 Å; angles 90.00, 90.00, 120.00 degrees
Space group R-3m (No. 166, hexagonal axes)
Asymmetric unit:
1 Na 0.0000 0.0000 0.0901 [6 per cell]
2 Zn 0.0000 0.0000 0.5000 [3 per cell]
3 Ga 0.0000 0.0000 0.0000 [3 per cell]

19.
A relaxed structure of NaZnGa4. Source: Alexandria via LeMat-Bulk, functional PBE-GGA.

Crystal system = orthorhombic
M_tot = 0.00 Bohr magnetons per cell
Calculated total energy = -14.5 eV per formula unit

Cell lengths 4.363, 16.411, 7.043 Å; angles 90.00, 90.00, 90.00 degrees
Space group Cmcm (No. 63)
Asymmetric unit:
1 Na 0.000 0.117 0.250 [4 per cell]
2 Zn 0.000 0.346 0.250 [4 per cell]
3 Ga 0.000 0.064 0.750 [4 per cell]
4 Ga 0.000 0.271 0.576 [8 per cell]
5 Ga 0.000 0.500 0.000 [4 per cell]

20.
A relaxed structure of NaZn5Ga2. Source: Alexandria via LeMat-Bulk, functional PBE-GGA.

Crystal system = orthorhombic
M_tot = 0.00 Bohr magnetons per cell
Calculated total energy = -14.0 eV per formula unit

Cell lengths 3.933, 7.252, 10.252 Å; angles 90.00, 90.00, 90.00 degrees
Space group Immm (No. 71)
Asymmetric unit:
1 Na 0.000 0.000 0.000 [2 per cell]
2 Zn 0.000 0.188 0.370 [8 per cell]
3 Zn 0.000 0.500 0.000 [2 per cell]
4 Ga 0.000 0.500 0.257 [4 per cell]

Calculated theoretical density (Mg/m³), listed in the same order as above: 5.0, 5.1, 5.2, 5.5, 5.2, 6.1, 6.0, 5.0, 5.3, 4.3, 3.7, 3.9, 3.5, 3.8, 3.1, 3.7, 5.1, 3.2, 4.8, 5.6